Ta2MnAl: relaxed, PBE-GGA.

The structure in POSCAR format:
```
Ta2MnAl
1.0
3.5449 0.0000 0.0000
0.0000 4.1940 0.0000
0.0000 0.0000 4.3175
Ta Mn Al
2 1 1
Direct
0.0000 0.0000 0.0000
0.5000 0.0000 0.5000
0.0000 0.5000 0.5000
0.5000 0.5000 0.0000
```

Values from the calculation:
ΔH_f (0 K) = -0.37 eV/f.u.


Cs3Rb3SrI8: relaxed, PBE-GGA.

The structure in POSCAR format:
```
Cs3Rb3SrI8
1.0
9.2158 -5.3160 0.0000
9.2158 5.3160 0.0000
-6.1491 0.0000 8.9501
Cs Rb Sr I
3 3 1 8
Direct
0.0000 0.0000 0.0000
0.0000 0.5000 0.0000
0.5000 0.0000 0.0000
0.0000 0.5000 0.5000
0.5000 0.0000 0.5000
0.5000 0.5000 0.5000
0.0000 0.0000 0.5000
0.2195 0.2195 0.7120
0.2194 0.7729 0.7117
0.2271 0.7806 0.2883
0.2547 0.2547 0.2643
0.7453 0.7453 0.7357
0.7729 0.2194 0.7117
0.7806 0.2271 0.2883
0.7805 0.7805 0.2880
```

Values from the calculation:
E_form (uncorrected) = -1.57 eV per atom